## P
BeIn2Sb: optimized geometry, GGA-PBEsol.

Cell lengths 5.0527, 5.0527, 5.0527 Å; angles 60.00, 60.00, 60.00 degrees
Last column: nearest neighbours and their distance in Å.
Positions (direct):
Be 0.0000 0.0000 0.0000  8 In 3.09
In 0.2500 0.2500 0.2500  4 Sb 3.09, 4 Be 3.09
In 0.7500 0.7500 0.7500  4 Sb 3.09, 4 Be 3.09
Sb 0.5000 0.5000 0.5000  8 In 3.09

Symmetry: No. 225

## Q
BeIn2Sb: optimized geometry, GGA-PBEsol.

Cell lengths 3.1685, 3.1685, 8.5184 Å; angles 90.00, 90.00, 90.00 degrees
Last column: nearest neighbours and their distance in Å.
Positions (direct):
Be 0.0000 0.0000 0.0000  8 In 2.80
In 0.5000 0.5000 0.1979  4 Be 2.80
In 0.5000 0.5000 0.8021  4 Be 2.80
Sb 0.0000 0.0000 0.5000  4 Sb 3.17, 8 In 3.41

Symmetry: No. 123

Best to worst by energy: Q, P.

## P
Sc2BeIn: optimized geometry, GGA-PBEsol.

Cell lengths 3.2492, 3.2492, 6.9689 Å; angles 90.00, 90.00, 90.00 degrees
Last column: nearest neighbours and their distance in Å.
Positions (direct):
Sc 0.0000 0.0000 0.2148  4 Be 2.74, 1 Sc 2.99, 4 In 3.04
Sc 0.0000 0.0000 0.7852  4 Be 2.74, 1 Sc 2.99, 4 In 3.04
Be 0.5000 0.5000 0.0000  8 Sc 2.74
In 0.5000 0.5000 0.5000  8 Sc 3.04, 4 In 3.25

Symmetry: No. 123

## Q
Sc2BeIn: optimized geometry, GGA-PBEsol.

Cell lengths 5.6518, 5.6518, 5.6518 Å; angles 145.95, 131.04, 60.98 degrees
Last column: nearest neighbours and their distance in Å.
Positions (direct):
Sc 0.0000 0.0000 0.0000  2 Be 2.88, 4 In 2.93, 4 Sc 3.17-3.19
Sc 0.7222 0.2222 0.5000  4 Be 2.87, 2 In 3.14, 4 Sc 3.17-3.19
Be 0.2416 0.7416 0.5000  2 In 2.52
In 0.4372 0.4372 0.0000  2 Be 2.52

Symmetry: No. 44

Best to worst by energy: P, Q.